# 1
! SrTm4B3O12, optimized geometry, DFT PBE-GGA; values from VASP
&SYSTEM
  ibrav = 0, nat = 20, ntyp = 4
/
ATOMIC_SPECIES
O 16.00 O.upf
B 10.81 B.upf
Tm 168.93 Tm.upf
Sr 87.62 Sr.upf
CELL_PARAMETERS angstrom
6.666 0.000 0.000
-2.222 6.285 0.000
-2.222 -3.142 5.443
ATOMIC_POSITIONS angstrom
O -0.918 1.994 1.901
O 1.304 3.791 2.766
O 3.140 1.148 3.542
O -0.036 4.739 1.124
O -2.258 2.942 3.542
O 4.480 0.201 1.901
O 0.918 -0.649 2.677
O 0.036 1.396 4.666
O 3.526 3.642 0.776
O -1.304 -0.499 4.666
O 2.258 -1.597 4.318
O 2.186 1.746 0.776
B 2.222 3.142 0.000
B -2.222 1.571 2.721
B 2.222 -1.571 2.721
Tm 3.333 0.000 0.000
Tm -1.111 3.142 0.000
Tm -1.111 -1.571 2.721
Tm 1.111 1.571 2.721
Sr 0.000 0.000 0.000
! Space-group type ... No. 204


# 2
! Sr3TmB2O8, optimized geometry, DFT PBE-GGA; values from VASP
&SYSTEM
  ibrav = 0, nat = 14, ntyp = 4
/
ATOMIC_SPECIES
B 10.81 B.upf
Sr 87.62 Sr.upf
O 16.00 O.upf
Tm 168.93 Tm.upf
CELL_PARAMETERS angstrom
5.446 0.000 0.000
-2.723 4.716 0.000
0.000 0.000 6.958
ATOMIC_POSITIONS angstrom
B 2.723 1.572 5.324
B 0.000 3.144 1.634
Sr 0.000 3.144 4.750
Sr 2.723 1.572 2.208
Sr 0.000 0.000 0.000
O 1.504 0.868 4.800
O 3.942 0.868 4.800
O -1.219 3.848 2.158
O 2.723 1.572 6.780
O 2.723 2.979 4.800
O 0.000 3.144 0.178
O 1.219 3.848 2.158
O 0.000 1.737 2.158
Tm 0.000 0.000 3.479
! Space-group type ... No. 164


# 3
! SrTm3B4O12, optimized geometry, DFT PBE-GGA; values from VASP
&SYSTEM
  ibrav = 0, nat = 20, ntyp = 4
/
ATOMIC_SPECIES
O 16.00 O.upf
B 10.81 B.upf
Sr 87.62 Sr.upf
Tm 168.93 Tm.upf
CELL_PARAMETERS angstrom
-5.241 1.280 -3.681
4.324 -2.102 -4.421
-1.727 -5.540 2.998
ATOMIC_POSITIONS angstrom
O 1.157 -5.730 -0.408
O 1.883 -2.642 -5.135
O -1.801 -2.251 -3.463
O -2.754 -0.401 -5.275
O -1.056 -5.959 0.522
O -0.018 -3.642 -2.653
O -4.931 -1.275 -3.310
O 2.577 -4.559 -2.853
O -2.147 -3.649 -1.541
O -3.788 -4.582 0.472
O -5.184 -2.446 -1.217
O 0.199 -1.035 -5.764
B 1.435 -1.615 -5.932
B -1.322 -3.181 -2.552
B 0.279 -6.288 0.491
B -5.680 -1.640 -2.215
Sr 0.000 0.000 0.000
Tm 1.559 -3.673 -1.031
Tm -3.333 -2.424 -0.054
Tm -0.870 -0.265 -4.019
! Space-group type ... No. 155


Number 1: formation energy from raw total energies -2408 meV per atom. Number 2: formation energy from raw total energies -2773 meV per atom. Number 3: formation energy from raw total energies -2960 meV per atom.